VASP calculation (PBE) on crystalline RuSeO3 at its relaxed geometry.

POSCAR file:
```
RuSeO3
1.0
3.873 0.000 0.000
0.000 3.873 0.000
0.000 0.000 3.873
Ru Se O
1 1 3
Direct
0.000 0.000 0.000 Ru
0.500 0.500 0.500 Se
0.000 0.000 0.500 O
0.000 0.500 0.000 O
0.500 0.000 0.000 O
```

Crystal system = cubic
Total DFT energy (no corrections) = -5.627 eV/atom
SG = Pm-3m (221)
Energy relative to the elements, uncorrected = -0.1000 eV per atom

***

VASP calculation (PBE) on crystalline Ru3SeO at its relaxed geometry.

POSCAR file:
```
Ru3SeO
1.0
4.116 0.000 0.000
0.000 4.116 0.000
0.000 0.000 4.116
Ru Se O
3 1 1
Direct
0.000 0.000 0.500 Ru
0.000 0.500 0.000 Ru
0.500 0.000 0.000 Ru
0.500 0.500 0.500 Se
0.000 0.000 0.000 O
```

Crystal system = cubic
Total DFT energy (no corrections) = -6.741 eV/atom
SG = Pm-3m (221)
Energy relative to the elements, uncorrected = 0.5135 eV per atom

***

VASP calculation (PBE) on crystalline RuSe3O at its relaxed geometry.

POSCAR file:
```
RuSe3O
1.0
4.379 0.000 0.000
0.000 4.379 0.000
0.000 0.000 4.379
Ru Se O
1 3 1
Direct
0.000 0.000 0.000 Ru
0.000 0.500 0.500 Se
0.500 0.000 0.500 Se
0.500 0.500 0.000 Se
0.500 0.500 0.500 O
```

Crystal system = cubic
Total DFT energy (no corrections) = -4.129 eV/atom
SG = Pm-3m (221)
Energy relative to the elements, uncorrected = 0.8080 eV per atom

***

VASP calculation (PBE) on crystalline RuSe3O9 at its relaxed geometry.

POSCAR file:
```
RuSe3O9
1.0
7.180 -3.861 0.000
7.180 3.861 0.000
-5.843 0.000 7.483
Ru Se O
2 6 18
Direct
0.247 0.753 0.500 Ru
0.753 0.247 0.000 Ru
0.097 0.143 0.855 Se
0.143 0.097 0.355 Se
0.381 0.451 0.696 Se
0.451 0.381 0.196 Se
0.752 0.752 0.245 Se
0.752 0.752 0.745 Se
0.027 0.079 0.957 O
0.079 0.027 0.457 O
0.203 0.312 0.565 O
0.251 0.618 0.247 O
0.251 0.893 0.757 O
0.312 0.203 0.065 O
0.409 0.470 0.538 O
0.470 0.409 0.038 O
0.503 0.795 0.576 O
0.572 0.806 0.308 O
0.618 0.251 0.747 O
0.705 0.995 0.919 O
0.724 0.911 0.175 O
0.795 0.503 0.076 O
0.806 0.572 0.808 O
0.893 0.251 0.257 O
0.911 0.724 0.675 O
0.995 0.705 0.419 O
```

Crystal system = monoclinic
Total DFT energy (no corrections) = -5.572 eV/atom
SG = Cc (9)
Energy relative to the elements, uncorrected = -0.6215 eV per atom

***

VASP calculation (PBE) on crystalline RuSeO3 at its relaxed geometry.

POSCAR file:
```
RuSeO3
1.0
3.911 0.000 0.000
0.000 3.911 0.000
0.000 0.000 3.911
Ru Se O
1 1 3
Direct
0.000 0.000 0.000 Ru
0.500 0.500 0.500 Se
0.000 0.500 0.500 O
0.500 0.000 0.500 O
0.500 0.500 0.000 O
```

Crystal system = cubic
Total DFT energy (no corrections) = -5.148 eV/atom
SG = Pm-3m (221)
Energy relative to the elements, uncorrected = 0.3788 eV per atom

***

VASP calculation (PBE) on crystalline RuSe2O2 at its relaxed geometry.

POSCAR file:
```
RuSe2O2
1.0
-1.659 1.659 5.917
1.659 -1.659 5.917
1.659 1.659 -5.917
Ru Se O
1 2 2
Direct
0.000 0.000 0.000 Ru
0.368 0.368 0.000 Se
0.632 0.632 0.000 Se
0.250 0.750 0.500 O
0.750 0.250 0.500 O
```

Crystal system = tetragonal
Total DFT energy (no corrections) = -4.603 eV/atom
SG = I4/mmm (139)
Energy relative to the elements, uncorrected = 0.6295 eV per atom

***

VASP calculation (PBE) on crystalline RuSe2O2 at its relaxed geometry.

POSCAR file:
```
RuSe2O2
1.0
6.365 0.000 0.000
0.000 6.365 0.000
0.000 0.000 3.866
Ru Se O
2 4 4
Direct
0.000 0.000 0.000 Ru
0.500 0.500 0.000 Ru
0.149 0.351 0.000 Se
0.351 0.851 0.000 Se
0.649 0.149 0.000 Se
0.851 0.649 0.000 Se
0.182 0.318 0.500 O
0.318 0.818 0.500 O
0.682 0.182 0.500 O
0.818 0.682 0.500 O
```

Crystal system = tetragonal
Total DFT energy (no corrections) = -5.075 eV/atom
SG = P4/mbm (127)
Energy relative to the elements, uncorrected = 0.1577 eV per atom

***

VASP calculation (PBE) on crystalline RuSe3O at its relaxed geometry.

POSCAR file:
```
RuSe3O
1.0
4.800 0.000 0.000
0.000 4.800 0.000
0.000 0.000 4.800
Ru Se O
1 3 1
Direct
0.000 0.000 0.000 Ru
0.000 0.000 0.500 Se
0.000 0.500 0.000 Se
0.500 0.000 0.000 Se
0.500 0.500 0.500 O
```

Crystal system = cubic
Total DFT energy (no corrections) = -3.980 eV/atom
SG = Pm-3m (221)
Energy relative to the elements, uncorrected = 0.9576 eV per atom